GeIBrN2 | GGA-PBE | relaxed

abc: 3.958 3.958 7.456
angles: 90.00 90.00 90.00
Sites, in units of the cell vectors:
I (0.000, 0.000, 0.500)
Ge (0.000, 0.000, 0.000)
Br (0.500, 0.500, 0.500)
N (0.000, 0.500, 0.000)
N (0.500, 0.000, 0.000)

Results
DOS(E_F) ... 3.70 states/eV per cell
Raw formation energy ... 1.36 eV/atom
Distance to the lowest polymorph of the same formula ... 0.000 eV per atom
Crystal system ... tetragonal



KSe2N2 | GGA-PBE | relaxed

abc: 4.334 11.176 20.004
angles: 160.41 48.14 114.30
Sites, in units of the cell vectors:
K (0.000, 0.000, 0.000)
Se (0.221, 0.592, 0.954)
Se (0.779, 0.408, 0.046)
N (0.798, 0.390, 0.692)
N (0.202, 0.610, 0.308)

Results
DOS(E_F) ... 2.29 states/eV per cell
Raw formation energy ... 0.39 eV/atom
Distance to the lowest polymorph of the same formula ... 0.000 eV per atom
Crystal system ... triclinic



FeBSCl2 | GGA-PBE | relaxed

abc: 4.787 4.787 4.182
angles: 90.00 90.00 90.00
Sites, in units of the cell vectors:
S (0.000, 0.000, 0.500)
B (0.500, 0.500, 0.500)
Fe (0.000, 0.000, 0.000)
Cl (0.000, 0.500, 0.000)
Cl (0.500, 0.000, 0.000)

Results
DOS(E_F) ... 4.88 states/eV per cell
Raw formation energy ... 0.84 eV/atom
Distance to the lowest polymorph of the same formula ... 0.168 eV per atom
Crystal system ... tetragonal



KBaNa2Tl | GGA-PBE | relaxed

abc: 6.294 6.294 6.596
angles: 90.00 90.00 90.00
Sites, in units of the cell vectors:
K (0.500, 0.500, 0.500)
Na (0.000, 0.500, 0.000)
Na (0.500, 0.000, 0.000)
Tl (0.000, 0.000, 0.000)
Ba (0.000, 0.000, 0.500)

Results
DOS(E_F) ... 5.03 states/eV per cell
ΔH_f (0 K) ... 20 meV per atom
Crystal system ... tetragonal



FeSiRh | GGA-PBE | relaxed

abc: 4.074 4.074 2.741
angles: 90.00 90.00 120.00
Sites, in units of the cell vectors:
Fe (0.000, 0.000, 0.997)
Rh (0.667, 0.333, 0.495)
Si (0.333, 0.667, 0.508)

Results
DOS(E_F) ... 1.00 states/eV per cell
Raw formation energy ... -0.38 eV/atom
Crystal system ... trigonal



PrDy3Tm2P6 | GGA-PBE | relaxed

abc: 6.967 6.967 6.969
angles: 99.60 99.60 120.00
Sites, in units of the cell vectors:
Pr (0.000, 0.000, 0.000)
Dy (0.165, 0.835, 0.500)
Dy (0.835, 0.165, 0.500)
Dy (0.500, 0.500, 0.500)
Tm (0.333, 0.667, 0.000)
Tm (0.667, 0.333, 0.000)
P (0.916, 0.574, 0.748)
P (0.742, 0.742, 0.251)
P (0.084, 0.426, 0.252)
P (0.574, 0.916, 0.748)
P (0.258, 0.258, 0.749)
P (0.426, 0.084, 0.252)

Results
DOS(E_F) ... 1.68 states/eV per cell
ΔH_f (0 K) ... -1580 meV per atom
Crystal system ... monoclinic